Record 1
{"formula": "NaHg3Ru", "functional": "GGA-PBEsol", "state": "relaxed", "cell": [[5.013, 0.000, 0.000], [0.000, 5.013, 0.000], [0.000, 0.000, 5.013]], "species": ["Ru", "Hg", "Hg", "Hg", "Na"], "fractional_positions": [[0.500, 0.500, 0.500], [0.000, 0.500, 0.000], [0.000, 0.000, 0.500], [0.500, 0.000, 0.000], [0.000, 0.000, 0.000]], "formation_energy_ev_per_fu": 6.62, "space_group": "No. 221"}


Record 2
{"formula": "V6O5F19", "functional": "GGA-PBEsol", "state": "relaxed", "cell": [[-5.168, 1.039, -0.003], [-0.785, -3.062, 4.403], [1.820, 9.655, 10.307]], "species": ["V", "V", "V", "V", "V", "V", "O", "O", "O", "O", "O", "F", "F", "F", "F", "F", "F", "F", "F", "F", "F", "F", "F", "F", "F", "F", "F", "F", "F", "F"], "fractional_positions": [[0.962, 0.923, 0.003], [0.481, 0.909, 0.332], [0.047, 0.721, 0.664], [0.456, 0.432, 0.995], [0.027, 0.415, 0.333], [0.517, 0.184, 0.667], [0.242, 0.952, 0.649], [0.207, 0.655, 0.315], [0.234, 0.261, 0.973], [0.779, 0.692, 0.026], [0.294, 0.157, 0.312], [0.258, 0.754, 0.972], [0.750, 0.894, 0.694], [0.079, 0.943, 0.116], [0.419, 0.785, 0.452], [0.077, 0.591, 0.784], [0.564, 0.866, 0.218], [0.928, 0.728, 0.550], [0.586, 0.543, 0.883], [0.288, 0.469, 0.639], [0.727, 0.547, 0.360], [0.775, 0.384, 0.684], [0.411, 0.445, 0.115], [0.078, 0.276, 0.452], [0.421, 0.122, 0.785], [0.933, 0.385, 0.219], [0.572, 0.199, 0.545], [0.906, 0.044, 0.883], [0.713, 0.185, 0.026], [0.772, 0.040, 0.355]], "e_form_raw_mev_per_atom": -2653, "space_group": "No. 1"}


Record 3
{"formula": "Sc2Cd2Pb", "functional": "GGA-PBEsol", "state": "relaxed", "cell": [[-2.686, 1.116, 2.666], [-2.226, -3.119, -0.938], [6.077, -3.211, 4.548]], "species": ["Pb", "Sc", "Sc", "Cd", "Cd"], "fractional_positions": [[0.000, 0.000, 0.000], [0.406, 0.406, 0.811], [0.594, 0.594, 0.189], [0.250, 0.750, 0.500], [0.750, 0.250, 0.500]], "formation_energy_ev_per_fu": -0.04, "space_group": "No. 139"}


Record 4
{"formula": "K2SrCl4", "functional": "GGA-PBEsol", "state": "relaxed", "cell": [[7.806, 0.036, 0.000], [-2.649, 7.487, 0.000], [0.000, 0.000, 12.931]], "species": ["K", "K", "K", "K", "K", "K", "K", "K", "Sr", "Sr", "Sr", "Sr", "Cl", "Cl", "Cl", "Cl", "Cl", "Cl", "Cl", "Cl", "Cl", "Cl", "Cl", "Cl", "Cl", "Cl", "Cl", "Cl"], "fractional_positions": [[0.700, 0.826, 0.055], [0.175, 0.294, 0.558], [0.056, 0.426, 0.190], [0.732, 0.994, 0.376], [0.175, 0.794, 0.442], [0.056, 0.926, 0.810], [0.700, 0.326, 0.945], [0.732, 0.494, 0.624], [0.573, 0.960, 0.705], [0.573, 0.460, 0.295], [0.256, 0.487, 0.877], [0.256, 0.987, 0.123], [0.391, 0.747, 0.242], [0.221, 0.182, 0.308], [0.903, 0.260, 0.759], [0.888, 0.414, 0.414], [0.652, 0.679, 0.823], [0.488, 0.614, 0.478], [0.652, 0.179, 0.177], [0.434, 0.941, 0.930], [0.488, 0.114, 0.522], [0.434, 0.441, 0.070], [0.031, 0.148, 0.003], [0.221, 0.682, 0.692], [0.031, 0.648, 0.997], [0.903, 0.760, 0.241], [0.888, 0.914, 0.586], [0.391, 0.247, 0.758]], "e_form_raw_mev_per_atom": -2163, "space_group": "No. 7"}


Record 5
{"formula": "Rb3TiCr", "functional": "GGA-PBEsol", "state": "relaxed", "cell": [[6.747, 0.000, 0.000], [0.000, 6.747, 0.000], [0.000, 0.000, 6.747]], "species": ["Cr", "Rb", "Rb", "Rb", "Ti"], "fractional_positions": [[0.000, 0.000, 0.000], [0.000, 0.500, 0.000], [0.000, 0.000, 0.500], [0.500, 0.000, 0.000], [0.500, 0.500, 0.500]], "formation_energy_ev_per_fu": 7.74, "space_group": "No. 221"}


Record 6
{"formula": "Sc2CoCl", "functional": "GGA-PBEsol", "state": "relaxed", "cell": [[3.601, 0.000, 0.000], [0.000, 3.601, 0.000], [0.000, 0.000, 5.224]], "species": ["Sc", "Sc", "Co", "Cl"], "fractional_positions": [[0.000, 0.000, 0.875], [0.500, 0.500, 0.376], [0.500, 0.500, 0.875], [0.000, 0.000, 0.374]], "e_form_raw_mev_per_atom": -614, "space_group": "No. 99"}


Repeat the second record exactly.
{"formula": "V6O5F19", "functional": "GGA-PBEsol", "state": "relaxed", "cell": [[-5.168, 1.039, -0.003], [-0.785, -3.062, 4.403], [1.820, 9.655, 10.307]], "species": ["V", "V", "V", "V", "V", "V", "O", "O", "O", "O", "O", "F", "F", "F", "F", "F", "F", "F", "F", "F", "F", "F", "F", "F", "F", "F", "F", "F", "F", "F"], "fractional_positions": [[0.962, 0.923, 0.003], [0.481, 0.909, 0.332], [0.047, 0.721, 0.664], [0.456, 0.432, 0.995], [0.027, 0.415, 0.333], [0.517, 0.184, 0.667], [0.242, 0.952, 0.649], [0.207, 0.655, 0.315], [0.234, 0.261, 0.973], [0.779, 0.692, 0.026], [0.294, 0.157, 0.312], [0.258, 0.754, 0.972], [0.750, 0.894, 0.694], [0.079, 0.943, 0.116], [0.419, 0.785, 0.452], [0.077, 0.591, 0.784], [0.564, 0.866, 0.218], [0.928, 0.728, 0.550], [0.586, 0.543, 0.883], [0.288, 0.469, 0.639], [0.727, 0.547, 0.360], [0.775, 0.384, 0.684], [0.411, 0.445, 0.115], [0.078, 0.276, 0.452], [0.421, 0.122, 0.785], [0.933, 0.385, 0.219], [0.572, 0.199, 0.545], [0.906, 0.044, 0.883], [0.713, 0.185, 0.026], [0.772, 0.040, 0.355]], "e_form_raw_mev_per_atom": -2653, "space_group": "No. 1"}